Entry 1:
The following is a DFT calculation (GGA-PBE) of a geometry-optimized KSr2W structure.

Unit cell a=8.376 b=8.376 c=8.376 alpha=90.00 beta=90.00 gamma=90.00
Positions (direct):
K 0.000 0.000 0.000
K 0.000 0.500 0.500
K 0.500 0.000 0.500
K 0.500 0.500 0.000
Sr 0.250 0.250 0.250
Sr 0.250 0.250 0.750
Sr 0.250 0.750 0.250
Sr 0.250 0.750 0.750
Sr 0.750 0.250 0.250
Sr 0.750 0.250 0.750
Sr 0.750 0.750 0.250
Sr 0.750 0.750 0.750
W 0.000 0.000 0.500
W 0.000 0.500 0.000
W 0.500 0.000 0.000
W 0.500 0.500 0.500

**E_tot**: -3.165 eV per atom
**Theoretical density**: 4.500 g/cm³
**Formation enthalpy at 0 K**: 4.8 eV/f.u.
**SG**: No. 225


Entry 2:
The following is a DFT calculation (GGA-PBE) of a geometry-optimized Pm4Er5Mg structure.

Unit cell a=8.085 b=8.085 c=8.085 alpha=97.20 beta=97.20 gamma=138.53
Positions (direct):
Pm 0.000 0.318 0.318
Pm 0.000 0.682 0.682
Pm 0.318 0.000 0.318
Pm 0.682 0.000 0.682
Er 0.204 0.204 0.000
Er 0.305 0.305 0.630
Er 0.305 0.675 0.000
Er 0.675 0.305 0.000
Er 0.675 0.675 0.370
Mg 0.722 0.722 0.000

**E_tot**: -4.159 eV per atom
**Theoretical density**: 7.308 g/cm³
**Formation enthalpy at 0 K**: 1.8 eV/f.u.
**SG**: No. 107


Entry 3:
The following is a DFT calculation (GGA-PBE) of a geometry-optimized SmDy2Ho6Tm3 structure.

Unit cell a=6.102 b=6.102 c=11.680 alpha=94.98 beta=94.98 gamma=119.93
Positions (direct):
Sm 0.000 0.000 0.000
Dy 0.333 0.667 0.000
Dy 0.667 0.333 0.000
Ho 0.085 0.419 0.252
Ho 0.249 0.249 0.748
Ho 0.419 0.085 0.252
Ho 0.581 0.915 0.748
Ho 0.751 0.751 0.252
Ho 0.915 0.581 0.748
Tm 0.167 0.833 0.500
Tm 0.500 0.500 0.500
Tm 0.833 0.167 0.500

**E_tot**: -4.546 eV per atom
**Theoretical density**: 8.820 g/cm³
**Formation enthalpy at 0 K**: 0.2 eV/f.u.
**SG**: No. 12


Entry 4:
The following is a DFT calculation (GGA-PBE) of a geometry-optimized Hf2Ti2S7 structure.

Unit cell a=6.566 b=6.566 c=6.662 alpha=93.73 beta=93.73 gamma=110.23
Positions (direct):
Hf 0.221 0.221 0.125
Hf 0.779 0.779 0.875
Ti 0.167 0.833 0.500
Ti 0.833 0.167 0.500
S 0.076 0.460 0.309
S 0.094 0.094 0.750
S 0.460 0.076 0.309
S 0.500 0.500 0.000
S 0.540 0.924 0.691
S 0.906 0.906 0.250
S 0.924 0.540 0.691

**E_tot**: -7.079 eV per atom
**Theoretical density**: 4.200 g/cm³
**SG**: No. 12
**Raw formation energy**: -1207.7 meV per atom


Entry 5:
The following is a DFT calculation (GGA-PBE) of a geometry-optimized LaPr2Sm structure.

Unit cell a=3.702 b=3.702 c=10.488 alpha=90.00 beta=90.00 gamma=90.00
Positions (direct):
La 0.000 0.000 0.000
Pr 0.500 0.500 0.254
Pr 0.500 0.500 0.746
Sm 0.000 0.000 0.500

**E_tot**: -4.787 eV per atom
**Theoretical density**: 6.597 g/cm³
**Formation enthalpy at 0 K**: 0.1 eV/f.u.
**SG**: No. 123


Entry 6:
The following is a DFT calculation (GGA-PBE) of a geometry-optimized PaGaAs2 structure.

Unit cell a=4.523 b=4.523 c=3.849 alpha=90.00 beta=90.00 gamma=90.00
Positions (direct):
Pa 0.000 0.000 0.000
Ga 0.500 0.500 0.000
As 0.000 0.500 0.500
As 0.500 0.000 0.500

**E_tot**: -6.128 eV per atom
**Theoretical density**: 9.501 g/cm³
**Formation enthalpy at 0 K**: -2.7 eV/f.u.
**SG**: No. 123